No. 1
# Dy3Ga9Co2 GGA-PBE optimized geometry
# E	-4.4673	eV/atom
# D(E_F)	0.374	states/eV per atom
# V	17.3	Å³ per atom
# energy relative to the elements	-0.52	eV per atom
# magnetization	0.0000	μB/atom
data_Dy3Ga9Co2
_chemical_formula_sum 'Dy6 Ga18 Co4'
_cell_length_a 4.212
_cell_length_b 9.454
_cell_length_c 12.196
_cell_angle_alpha 90.00
_cell_angle_beta 90.00
_cell_angle_gamma 90.00
_symmetry_space_group_name_H-M 'I m m m'
_symmetry_Int_Tables_number 71
_symmetry_space_group_name_Hall '-I 2 2'
loop_
_atom_site_label
_atom_site_fract_x
_atom_site_fract_y
_atom_site_fract_z
_atom_site_occupancy
Dy1 0.000 0.000 0.000 1
Dy2 0.000 0.000 0.303 1
Ga1 0.000 0.283 0.130 1
Ga2 0.000 0.362 0.349 1
Ga3 0.000 0.500 0.000 1
Co1 0.000 0.178 0.500 1

---

No. 2
# Dy8Ga3Co GGA-PBE optimized geometry
# E	-4.8220	eV/atom
# D(E_F)	0.253	states/eV per atom
# V	25.1	Å³ per atom
# energy relative to the elements	-0.41	eV per atom
# magnetization	0.0000	μB/atom
data_Dy8Ga3Co
_chemical_formula_sum 'Dy16 Ga6 Co2'
_cell_length_a 10.0207
_cell_length_b 10.0207
_cell_length_c 6.9265
_cell_angle_alpha 90.00
_cell_angle_beta 90.00
_cell_angle_gamma 120.00
_symmetry_space_group_name_H-M 'P 63 m c'
_symmetry_Int_Tables_number 186
_symmetry_space_group_name_Hall 'P 6c -2c'
loop_
_atom_site_label
_atom_site_fract_x
_atom_site_fract_y
_atom_site_fract_z
_atom_site_occupancy
Dy1 0.0000 0.0000 0.0245 1
Dy2 0.0734 0.5367 0.0000 1
Dy3 0.1727 0.3455 0.3029 1
Dy4 0.3333 0.6667 0.6195 1
Ga1 0.1635 0.3270 0.7519 1
Co1 0.3333 0.6667 0.2342 1

---

Please write out number 2 again, unchanged.
# Dy8Ga3Co GGA-PBE optimized geometry
# E	-4.8220	eV/atom
# D(E_F)	0.253	states/eV per atom
# V	25.1	Å³ per atom
# energy relative to the elements	-0.41	eV per atom
# magnetization	0.0000	μB/atom
data_Dy8Ga3Co
_chemical_formula_sum 'Dy16 Ga6 Co2'
_cell_length_a 10.0207
_cell_length_b 10.0207
_cell_length_c 6.9265
_cell_angle_alpha 90.00
_cell_angle_beta 90.00
_cell_angle_gamma 120.00
_symmetry_space_group_name_H-M 'P 63 m c'
_symmetry_Int_Tables_number 186
_symmetry_space_group_name_Hall 'P 6c -2c'
loop_
_atom_site_label
_atom_site_fract_x
_atom_site_fract_y
_atom_site_fract_z
_atom_site_occupancy
Dy1 0.0000 0.0000 0.0245 1
Dy2 0.0734 0.5367 0.0000 1
Dy3 0.1727 0.3455 0.3029 1
Dy4 0.3333 0.6667 0.6195 1
Ga1 0.1635 0.3270 0.7519 1
Co1 0.3333 0.6667 0.2342 1